# LiTc2W

LiTc2W after structural relaxation (PBE, Alexandria).

Lattice parameters (Å, degrees): 2.7197 2.7197 8.2197 90.00 90.00 90.00
Space group P4/mmm (No. 123)
Asymmetric unit:
Li: 0.0000 0.0000 0.0000 [1 per cell]
Tc: 0.5000 0.5000 0.2575 [2 per cell]
W: 0.0000 0.0000 0.5000 [1 per cell]

For the formation energy, the calculation gives 0.41 eV per atom. The total moment is 0.00 μB per formula unit. The value obtained for the offset from the most stable computed form is 94 kJ/mol of formula units. The value obtained for the density of states at the Fermi level is 4.533 states/eV/f.u.

***

# LiTcW2

LiTcW2 after structural relaxation (PBE, Alexandria).

Lattice parameters (Å, degrees): 2.9988 4.4729 9.3753 90.00 90.00 90.00
Space group Cmmm (No. 65)
Asymmetric unit:
Li: 0.0000 0.0000 0.0000 [2 per cell]
Tc: 0.0000 0.0000 0.5000 [2 per cell]
W: 0.0000 0.5000 0.2597 [4 per cell]

For the formation energy, the calculation gives 0.33 eV per atom. The total moment is 0.00 μB per formula unit. The value obtained for the offset from the most stable computed form is 31 kJ/mol of formula units. The value obtained for the density of states at the Fermi level is 2.819 states/eV/f.u.

***

# LiTc2W

LiTc2W after structural relaxation (PBE, Alexandria).

Lattice parameters (Å, degrees): 2.7512 2.7512 28.1002 90.00 90.00 120.00
Space group R3m (No. 160, hexagonal axes)
Asymmetric unit:
Li: 0.0000 0.0000 0.0000 [3 per cell]
Tc: 0.0000 0.0000 0.4935 [3 per cell]
Tc: 0.0000 0.0000 0.7521 [3 per cell]
W: 0.0000 0.0000 0.2446 [3 per cell]

For the formation energy, the calculation gives 0.25 eV per atom. The total moment is 0.00 μB per formula unit. The value obtained for the offset from the most stable computed form is 33 kJ/mol of formula units. The value obtained for the density of states at the Fermi level is 1.673 states/eV/f.u.